# 1
# NaMg2FeAu

A relaxed structure of NaMg2FeAu (GGA-PBE, the Alexandria database).

volume: 27.3 Å³/atom
total magnetization: 3.215 μB/f.u.
formation energy from the elements: 0.57 eV/atom

a = 5.0898 Å, b = 5.0898 Å, c = 5.2683 Å
α = 90.00°, β = 90.00°, γ = 90.00°
Space group P4/mmm (No. 123)
One atom of each set of equivalent atoms:
Na 0.0000 0.0000 0.0000
Mg 0.0000 0.5000 0.5000
Fe 0.5000 0.5000 0.0000
Au 0.0000 0.0000 0.5000


# 2
# LiPRu

A relaxed structure of LiPRu (GGA-PBE, the Alexandria database).

volume: 12.5 Å³/atom
total magnetization: 0.000 μB/f.u.
formation energy from the elements: -0.52 eV/atom

a = 2.9981 Å, b = 2.9981 Å, c = 8.3266 Å
α = 90.00°, β = 90.00°, γ = 90.00°
Space group I4mm (No. 107)
One atom of each set of equivalent atoms:
Li 0.0000 0.0000 0.0000
P 0.0000 0.0000 0.3265
Ru 0.0000 0.0000 0.6920


# 3
# K4Nd3GeO8

A relaxed structure of K4Nd3GeO8 (GGA-PBE, the Alexandria database).

raw formation energy: -2.212 eV per atom
volume: 17.2 Å³/atom
total magnetization: 0.000 μB/f.u.

a = 7.1098 Å, b = 7.1098 Å, c = 18.8797 Å
α = 90.00°, β = 90.00°, γ = 120.00°
Space group R-3m (No. 166, hexagonal axes)
One atom of each set of equivalent atoms:
K 0.0000 0.0000 0.0000
K 0.0000 0.5000 0.0000
Nd 0.0000 0.5000 0.5000
Ge 0.0000 0.0000 0.5000
O 0.0000 0.0000 0.2311
O 0.0188 0.5094 0.2290


# 4
# TeF6

A relaxed structure of TeF6 (GGA-PBE, the Alexandria database).

raw formation energy: -2.019 eV per atom
volume: 16.9 Å³/atom
total magnetization: 0.006 μB/f.u.

a = 10.0169 Å, b = 9.0260 Å, c = 5.2399 Å
α = 90.00°, β = 90.00°, γ = 90.00°
Space group Pnma (No. 62)
One atom of each set of equivalent atoms:
Te 0.1278 0.2500 0.0931
F 0.0151 0.2500 0.8099
F 0.0231 0.1039 0.2456
F 0.2330 0.1042 0.9413
F 0.2401 0.2500 0.3771


# 5
# TeRuBr2

A relaxed structure of TeRuBr2 (GGA-PBE, the Alexandria database).

raw formation energy: 0.452 eV per atom
volume: 28.8 Å³/atom
total magnetization: 2.996 μB/f.u.

a = 3.1946 Å, b = 3.1946 Å, c = 11.2912 Å
α = 90.00°, β = 90.00°, γ = 90.00°
Space group P4/mmm (No. 123)
One atom of each set of equivalent atoms:
Te 0.0000 0.0000 0.0000
Ru 0.0000 0.0000 0.5000
Br 0.5000 0.5000 0.3510


# 6
# CeDyGaRu

A relaxed structure of CeDyGaRu (GGA-PBE, the Alexandria database).

volume: 23.1 Å³/atom
total magnetization: 0.000 μB/f.u.
formation energy from the elements: -0.53 eV/atom

a = 4.3141 Å, b = 4.3371 Å, c = 9.8937 Å
α = 90.00°, β = 90.00°, γ = 90.00°
Space group Amm2 (No. 38)
One atom of each set of equivalent atoms:
Ce 0.0000 0.0000 0.0000
Dy 0.5000 0.0000 0.3011
Ga 0.5000 0.0000 0.5987
Ru 0.0000 0.0000 0.7687


# 7
# Pa2MnMoN5

A relaxed structure of Pa2MnMoN5 (GGA-PBE, the Alexandria database).

raw formation energy: -1.052 eV per atom
volume: 11.7 Å³/atom
total magnetization: 1.020 μB/f.u.

a = 3.2399 Å, b = 12.9072 Å, c = 10.0308 Å
α = 90.00°, β = 90.00°, γ = 90.00°
Space group Cmc2_1 (No. 36)
One atom of each set of equivalent atoms:
Pa 0.0000 0.1058 0.0000
Pa 0.0000 0.1451 0.6286
Mn 0.0000 0.4616 0.7741
Mo 0.0000 0.1976 0.3292
N 0.0000 0.0503 0.3839
N 0.0000 0.2829 0.9795
N 0.0000 0.3225 0.6858
N 0.0000 0.3703 0.3176
N 0.0000 0.4881 0.0938


# 8
# Pr4NiPt

A relaxed structure of Pr4NiPt (GGA-PBE, the Alexandria database).

volume: 30.0 Å³/atom
total magnetization: 0.000 μB/f.u.
formation energy from the elements: -0.40 eV/atom

a = 9.1943 Å, b = 14.4087 Å, c = 7.0608 Å
α = 90.00°, β = 129.76°, γ = 90.00°
Space group C2/c (No. 15)
One atom of each set of equivalent atoms:
Pr 0.1752 0.2191 0.1732
Pr 0.2486 0.4688 0.2522
Ni 0.0000 0.0903 0.2500
Pt 0.0000 0.3771 0.7500


# 9
# Ac2CdGa4Au3

A relaxed structure of Ac2CdGa4Au3 (GGA-PBE, the Alexandria database).

volume: 22.7 Å³/atom
total magnetization: 0.000 μB/f.u.
formation energy from the elements: -0.62 eV/atom

a = 4.5478 Å, b = 4.5478 Å, c = 10.9863 Å
α = 90.00°, β = 90.00°, γ = 90.00°
Space group P-4m2 (No. 115)
One atom of each set of equivalent atoms:
Ac 0.0000 0.5000 0.2463
Cd 0.0000 0.0000 0.5000
Ga 0.0000 0.0000 0.0000
Ga 0.0000 0.5000 0.6391
Ga 0.5000 0.5000 0.0000
Au 0.0000 0.5000 0.8744
Au 0.5000 0.5000 0.5000


# 10
# LaGa3Pd

A relaxed structure of LaGa3Pd (GGA-PBE, the Alexandria database).

volume: 22.9 Å³/atom
total magnetization: 0.000 μB/f.u.
formation energy from the elements: -0.40 eV/atom

a = 4.8542 Å, b = 4.8542 Å, c = 4.8542 Å
α = 90.00°, β = 90.00°, γ = 90.00°
Space group Pm-3m (No. 221)
One atom of each set of equivalent atoms:
La 0.0000 0.0000 0.0000
Ga 0.0000 0.5000 0.5000
Pd 0.5000 0.5000 0.5000


# 11
# LaBeI2

A relaxed structure of LaBeI2 (GGA-PBE, the Alexandria database).

raw formation energy: 0.116 eV per atom
volume: 34.4 Å³/atom
total magnetization: 1.041 μB/f.u.

a = 6.8145 Å, b = 6.8145 Å, c = 11.8487 Å
α = 90.00°, β = 90.00°, γ = 90.00°
Space group I-42d (No. 122)
One atom of each set of equivalent atoms:
La 0.0000 0.0000 0.0000
Be 0.0000 0.0000 0.5000
I 0.1568 0.2500 0.6250


# 12
# SmHo5Tm2Th

A relaxed structure of SmHo5Tm2Th (GGA-PBE, the Alexandria database).

volume: 32.5 Å³/atom
total magnetization: 0.000 μB/f.u.
formation energy from the elements: 0.17 eV/atom

a = 5.6749 Å, b = 21.3594 Å, c = 9.6651 Å
α = 90.00°, β = 90.00°, γ = 90.00°
Space group Cmc2_1 (No. 36)
One atom of each set of equivalent atoms:
Sm 0.0000 0.1901 0.0000
Ho 0.0000 0.0140 0.0008
Ho 0.0000 0.2725 0.3035
Ho 0.0000 0.3048 0.6960
Ho 0.0000 0.3991 0.0220
Ho 0.0000 0.4681 0.7216
Tm 0.0000 0.1160 0.3130
Tm 0.0000 0.1286 0.6937
Th 0.0000 0.4071 0.4016


# 13
# TiHgSe2O8

A relaxed structure of TiHgSe2O8 (GGA-PBE, the Alexandria database).

raw formation energy: -1.043 eV per atom
volume: 19.1 Å³/atom
total magnetization: 0.000 μB/f.u.

a = 8.6137 Å, b = 5.4566 Å, c = 9.7991 Å
α = 90.00°, β = 94.02°, γ = 90.00°
Space group C2/m (No. 12)
One atom of each set of equivalent atoms:
Ti 0.0000 0.0000 0.0000
Hg 0.0000 0.0000 0.5000
Se 0.1344 0.5000 0.8281
O 0.0200 0.2535 0.8570
O 0.1975 0.5000 0.6765
O 0.2244 0.0000 0.0402


# 14
# Ac2HPdPt6

A relaxed structure of Ac2HPdPt6 (GGA-PBE, the Alexandria database).

volume: 18.8 Å³/atom
final energy: -5.989 eV per atom
total magnetization: 0.000 μB/f.u.

a = 5.7552 Å, b = 5.7552 Å, c = 19.6113 Å
α = 90.00°, β = 90.00°, γ = 120.00°
Space group R-3m (No. 166, hexagonal axes)
One atom of each set of equivalent atoms:
Ac 0.0000 0.0000 0.2168
H 0.0000 0.0000 0.0000
Pd 0.0000 0.0000 0.5000
Pt 0.0067 0.5034 0.2752


# 15
# Y2WSe

A relaxed structure of Y2WSe (GGA-PBE, the Alexandria database).

raw formation energy: -0.021 eV per atom
volume: 24.2 Å³/atom
total magnetization: 0.000 μB/f.u.

a = 3.5524 Å, b = 4.6238 Å, c = 5.9011 Å
α = 90.00°, β = 90.00°, γ = 90.00°
Space group Pmm2 (No. 25)
One atom of each set of equivalent atoms:
Y 0.0000 0.0000 0.0000
Y 0.5000 0.5000 0.4737
W 0.5000 0.5000 0.9854
Se 0.0000 0.0000 0.5014


# 16
# Cs2GePd2

A relaxed structure of Cs2GePd2 (GGA-PBE, the Alexandria database).

volume: 37.2 Å³/atom
total magnetization: 0.000 μB/f.u.
formation energy from the elements: 0.15 eV/atom

a = 7.0804 Å, b = 7.0804 Å, c = 7.4196 Å
α = 90.00°, β = 90.00°, γ = 90.00°
Space group I4/mmm (No. 139)
One atom of each set of equivalent atoms:
Cs 0.0000 0.5000 0.2500
Ge 0.0000 0.0000 0.0000
Pd 0.0000 0.0000 0.3149


# 17
# TlSeSBr2

A relaxed structure of TlSeSBr2 (GGA-PBE, the Alexandria database).

raw formation energy: -0.005 eV per atom
volume: 28.4 Å³/atom
total magnetization: 0.000 μB/f.u.

a = 5.3427 Å, b = 5.3427 Å, c = 4.9700 Å
α = 90.00°, β = 90.00°, γ = 90.00°
Space group P4/mmm (No. 123)
One atom of each set of equivalent atoms:
Tl 0.0000 0.0000 0.0000
Se 0.5000 0.5000 0.0000
S 0.5000 0.5000 0.5000
Br 0.0000 0.5000 0.5000


# 18
# TbCe2Y3Se6

A relaxed structure of TbCe2Y3Se6 (GGA-PBE, the Alexandria database).

raw formation energy: -1.794 eV per atom
volume: 24.9 Å³/atom
total magnetization: 1.912 μB/f.u.

a = 7.1158 Å, b = 12.3468 Å, c = 7.1944 Å
α = 90.00°, β = 109.33°, γ = 90.00°
Space group C2/m (No. 12)
One atom of each set of equivalent atoms:
Tb 0.0000 0.0000 0.0000
Ce 0.0000 0.3337 0.0000
Y 0.0000 0.1668 0.5000
Y 0.0000 0.5000 0.5000
Se 0.2428 0.0000 0.7425
Se 0.2500 0.1645 0.2572


# 19
# Na3Zn4Au4

A relaxed structure of Na3Zn4Au4 (GGA-PBE, the Alexandria database).

volume: 20.3 Å³/atom
total magnetization: 0.000 μB/f.u.
formation energy from the elements: -0.28 eV/atom

a = 4.4436 Å, b = 7.1950 Å, c = 13.9753 Å
α = 90.00°, β = 90.00°, γ = 90.00°
Space group Immm (No. 71)
One atom of each set of equivalent atoms:
Na 0.0000 0.0000 0.0000
Na 0.0000 0.5000 0.1193
Zn 0.0000 0.3103 0.3225
Au 0.0000 0.0000 0.2196
Au 0.0000 0.1968 0.5000


# 20
# Mg2ZrRh

A relaxed structure of Mg2ZrRh (GGA-PBE, the Alexandria database).

volume: 18.9 Å³/atom
total magnetization: 0.002 μB/f.u.
formation energy from the elements: -0.19 eV/atom

a = 3.9677 Å, b = 3.9677 Å, c = 9.6035 Å
α = 90.00°, β = 90.00°, γ = 90.00°
Space group I4/mmm (No. 139)
One atom of each set of equivalent atoms:
Mg 0.0000 0.5000 0.2500
Zr 0.0000 0.0000 0.0000
Rh 0.0000 0.0000 0.5000


# 21
# CuSiW

A relaxed structure of CuSiW (GGA-PBE, the Alexandria database).

raw formation energy: 0.413 eV per atom
volume: 15.4 Å³/atom
total magnetization: 0.000 μB/f.u.

a = 5.6961 Å, b = 5.6961 Å, c = 5.6961 Å
α = 90.00°, β = 90.00°, γ = 90.00°
Space group F-43m (No. 216)
One atom of each set of equivalent atoms:
Cu 0.0000 0.0000 0.0000
Si 0.2500 0.2500 0.2500
W 0.0000 0.0000 0.5000


# 22
# CsTl2VS

A relaxed structure of CsTl2VS (GGA-PBE, the Alexandria database).

raw formation energy: -0.104 eV per atom
volume: 29.1 Å³/atom
total magnetization: 0.948 μB/f.u.

a = 5.5829 Å, b = 5.5829 Å, c = 4.6611 Å
α = 90.00°, β = 90.00°, γ = 90.00°
Space group P4/mmm (No. 123)
One atom of each set of equivalent atoms:
Cs 0.0000 0.0000 0.0000
Tl 0.0000 0.5000 0.5000
V 0.5000 0.5000 0.5000
S 0.5000 0.5000 0.0000


# 23
# CdCuBr4

A relaxed structure of CdCuBr4 (GGA-PBE, the Alexandria database).

raw formation energy: -0.516 eV per atom
volume: 30.6 Å³/atom
total magnetization: 1.046 μB/f.u.

a = 6.6945 Å, b = 3.9841 Å, c = 6.8916 Å
α = 90.00°, β = 92.08°, γ = 90.00°
Space group P2/m (No. 10)
One atom of each set of equivalent atoms:
Cd 0.0000 0.0000 0.0000
Cu 0.5000 0.5000 0.0000
Br 0.2101 0.5000 0.2182
Br 0.3316 0.0000 0.7818